(1)
Computed, not measured: an optimized crystal structure of LiY2 at the GGA-PBEsol level of DFT.

The structure belongs to space group P-3m1 (No. 164); the cell edges are 5.3109, 5.3109 and 3.3541 Å and the angles 90.00°, 90.00° and 120.00°. The asymmetric unit holds Li at (0.0000, 0.0000, 0.0000) and Y at (0.3333, 0.6667, 0.7232).

The value obtained for the offset from the most stable computed form is 0.0919 eV/atom. The value obtained for the energy of formation is 0.547 eV/f.u.

---

(2)
Computed, not measured: an optimized crystal structure of TaFeI2F at the GGA-PBEsol level of DFT.

The structure belongs to space group P4/mmm (No. 123); the cell edges are 5.334, 5.334 and 3.637 Å and the angles 90.00°, 90.00° and 90.00°. The asymmetric unit holds Ta at (0.000, 0.000, 0.000), Fe at (0.500, 0.500, 0.500), I at (0.000, 0.500, 0.500) and F at (0.500, 0.500, 0.000).

The calculation puts the total energy at -5.130 eV/atom.

---

(3)
Computed, not measured: an optimized crystal structure of GdLuCu2 at the GGA-PBEsol level of DFT.

The structure belongs to space group Fm-3m (No. 225); the cell edges are 6.771, 6.771 and 6.771 Å and the angles 90.00°, 90.00° and 90.00°. The asymmetric unit holds Gd at (0.000, 0.000, 0.000), Lu at (0.000, 0.000, 0.500) and Cu at (0.250, 0.250, 0.250).

The value obtained for the energy of formation is -0.940 eV/f.u.

---

(4)
Computed, not measured: an optimized crystal structure of IrOs2Pt at the GGA-PBEsol level of DFT.

The structure belongs to space group Pmmm (No. 47); the cell edges are 2.702, 3.886 and 5.404 Å and the angles 90.00°, 90.00° and 90.00°. The asymmetric unit holds Ir at (0.000, 0.000, 0.000), Os at (0.500, 0.500, 0.245) and Pt at (0.000, 0.000, 0.500).

The value obtained for the offset from the most stable computed form is 0.0880 eV/atom. The value obtained for the energy of formation is 0.585 eV/f.u.

---

(5)
Computed, not measured: an optimized crystal structure of TmCuSi at the GGA-PBEsol level of DFT.

The structure belongs to space group P-6m2 (No. 187); the cell edges are 4.0695, 4.0695 and 3.5797 Å and the angles 90.00°, 90.00° and 120.00°. The asymmetric unit holds Tm at (0.0000, 0.0000, 0.0000), Cu at (0.6667, 0.3333, 0.5000) and Si at (0.3333, 0.6667, 0.5000).

The calculation puts the total energy at -5.679 eV/atom.

---

(6)
Computed, not measured: an optimized crystal structure of SrTl2Zn at the GGA-PBEsol level of DFT.

The structure belongs to space group C2/m (No. 12); the cell edges are 6.441, 11.151 and 3.690 Å and the angles 90.00°, 120.99° and 90.00°. The asymmetric unit holds Sr at (0.000, 0.000, 0.000), Tl at (0.250, 0.250, 0.500) and Zn at (0.000, 0.500, 0.000).

The value obtained for the energy of formation is -0.088 eV/f.u.

---

(7)
Computed, not measured: an optimized crystal structure of SrCa3C at the GGA-PBEsol level of DFT.

The structure belongs to space group Pm-3m (No. 221); the cell edges are 6.916, 6.916 and 6.916 Å and the angles 90.00°, 90.00° and 90.00°. The asymmetric unit holds Sr at (0.000, 0.000, 0.000), Ca at (0.000, 0.000, 0.500) and C at (0.500, 0.500, 0.500).

The value obtained for the energy of formation is 11.451 eV/f.u.

---

(8)
Computed, not measured: an optimized crystal structure of HfTi4Se10 at the GGA-PBEsol level of DFT.

The structure belongs to space group P-3m1 (No. 164); the cell edges are 3.5229, 3.5229 and 29.7138 Å and the angles 90.00°, 90.00° and 120.00°. The asymmetric unit holds Hf at (0.0000, 0.0000, 0.0000), Ti at (0.0000, 0.0000, 0.2036), Ti at (0.0000, 0.0000, 0.4012), Se at (0.3333, 0.6667, 0.0558), Se at (0.3333, 0.6667, 0.2551), Se at (0.3333, 0.6667, 0.4527), Se at (0.3333, 0.6667, 0.6501) and Se at (0.3333, 0.6667, 0.8478).

The calculation puts the total energy at -6.643 eV/atom.